VASP calculation (PBE) on AcMo2H8 after structural relaxation.

The space group is Cm (No. 8) and the conventional cell measures 4.959, 8.464 and 4.882 Å, with angles of 90.00, 90.01 and 90.00 degrees. The inequivalent atoms are Ac at (0.000, 0.000, 0.000), Mo at (0.028, 0.328, 0.502), H at (0.053, 0.314, 0.137), H at (0.062, 0.500, 0.738), H at (0.236, 0.206, 0.733), H at (0.345, 0.000, 0.355) and H at (0.391, 0.373, 0.440).

The density of states at the Fermi level comes out at 3.9 states/eV/f.u. The volume is 204.9 Å³ per cell. The raw total energy is -4.911 eV per atom.

***

VASP calculation (PBE) on AcMoH after structural relaxation.

The space group is Amm2 (No. 38) and the conventional cell measures 3.284, 6.015 and 5.953 Å, with angles of 90.00, 90.00 and 90.00 degrees. The inequivalent atoms are Ac at (0.000, 0.000, 0.000), Mo at (0.000, 0.000, 0.485) and H at (0.500, 0.000, 0.637).

The density of states at the Fermi level comes out at 2.8 states/eV/f.u. The volume is 117.6 Å³ per cell. The raw total energy is -5.325 eV per atom.

***

VASP calculation (PBE) on AcMoH6 after structural relaxation.

The space group is R-3m (No. 166, hexagonal axes) and the conventional cell measures 4.8204, 4.8204 and 13.4490 Å, with angles of 90.00, 90.00 and 120.00 degrees. The inequivalent atoms are Ac at (0.0000, 0.0000, 0.0000), Mo at (0.0000, 0.0000, 0.5000) and H at (0.0123, 0.5061, 0.9166).

The volume is 270.6 Å³ per cell. The raw total energy is -4.422 eV per atom.

***

- Which of these has the lowest volume?
  AcMoH